VASP calculation (PBE) on a geometry-optimized TaTiNbRu structure.

Properties
The symmetry is F-43m (216). The calculation puts the calculated formation energy at -0.282 eV/atom. The distance to the lowest polymorph of the same formula comes out at 0 meV per atom. As for the density of states at the Fermi level: 1.481 states/eV/atom.

Cell lengths 4.527, 4.527, 4.527 Å; angles 60.00, 60.00, 60.00 degrees
Fractional positions:
Ta 0.750 0.750 0.750
Nb 0.000 0.000 0.000
Ti 0.250 0.250 0.250
Ru 0.500 0.500 0.500